Record 1
# NbTeMoPdI | Alexandria | PBE | relaxed
data_NbTeMoPdI
_chemical_formula_sum 'Nb1 Te1 Mo1 Pd1 I1'
_space_group_name_H-M_alt 'P 1'
_space_group_IT_number 1
_cell_length_a 3.572
_cell_length_b 4.952
_cell_length_c 6.961
_cell_angle_alpha 92.02
_cell_angle_beta 104.80
_cell_angle_gamma 110.83
loop_
_space_group_symop_operation_xyz
'x,y,z'
loop_
_atom_site_label
_atom_site_type_symbol
_atom_site_fract_x
_atom_site_fract_y
_atom_site_fract_z
Nb1 Nb 0.000 0.000 0.000
Te1 Te 0.770 0.227 0.316
Mo1 Mo 0.380 0.637 0.119
Pd1 Pd 0.674 0.799 0.540
I1 I 0.604 0.405 0.799
# Energy relative to the elements, uncorrected, eV per atom: 0.2465
# Relative energy among the computed polymorphs, meV per atom: 343

Record 2
# NbTeMoPdI | Alexandria | PBE | relaxed
data_NbTeMoPdI
_chemical_formula_sum 'Nb2 Te2 Mo2 Pd2 I2'
_space_group_name_H-M_alt 'C 1 m 1'
_space_group_IT_number 8
_cell_length_a 16.504
_cell_length_b 4.396
_cell_length_c 3.422
_cell_angle_alpha 90.00
_cell_angle_beta 101.77
_cell_angle_gamma 90.00
loop_
_space_group_symop_operation_xyz
'x,y,z'
'x,-y,z'
'x+1/2,y+1/2,z'
'x+1/2,-y+1/2,z'
loop_
_atom_site_label
_atom_site_type_symbol
_atom_site_fract_x
_atom_site_fract_y
_atom_site_fract_z
Nb1 Nb 0.000 0.000 0.000
Te1 Te 0.148 0.000 0.646
Mo1 Mo 0.097 0.500 0.095
Pd1 Pd 0.461 0.000 0.461
I1 I 0.355 0.500 0.357
# Energy relative to the elements, uncorrected, eV per atom: 0.0005
# Relative energy among the computed polymorphs, meV per atom: 97

Record 3
# NbTeMoPdI | Alexandria | PBE | relaxed
data_NbTeMoPdI
_chemical_formula_sum 'Nb1 Te1 Mo1 Pd1 I1'
_space_group_name_H-M_alt 'P 1'
_space_group_IT_number 1
_cell_length_a 3.955
_cell_length_b 4.173
_cell_length_c 7.110
_cell_angle_alpha 89.95
_cell_angle_beta 89.81
_cell_angle_gamma 89.98
loop_
_space_group_symop_operation_xyz
'x,y,z'
loop_
_atom_site_label
_atom_site_type_symbol
_atom_site_fract_x
_atom_site_fract_y
_atom_site_fract_z
Nb1 Nb 0.000 0.000 0.000
Te1 Te 0.502 0.000 0.710
Mo1 Mo 0.500 0.500 0.993
Pd1 Pd 0.002 0.501 0.714
I1 I 0.999 0.500 0.279
# Energy relative to the elements, uncorrected, eV per atom: 0.0116
# Relative energy among the computed polymorphs, meV per atom: 108

> Which of these has the highest energy relative to the elements, uncorrected?

number 1